Below is CaBiN2F after structural relaxation, with properties calculated at the GGA-PBEsol level.

a b c (Å): 4.2901 4.2901 4.3838
angles (deg): 90.00 90.00 90.00
Space group P4/mmm (No. 123)
Symmetry-distinct sites (fractional):
Ca: 0.0000 0.0000 0.0000 x1
Bi: 0.5000 0.5000 0.5000 x1
N: 0.0000 0.5000 0.5000 x2
F: 0.5000 0.5000 0.0000 x1

E_form (uncorrected)   -0.291 eV/atom